The following is a PBE calculation of crystalline MgPtRh2 at its relaxed geometry, from Alexandria.

```
8
Lattice="3.914 0.000 0.000 0.000 3.914 0.000 0.000 0.000 7.812" Properties=species:S:1:pos:R:3 pbc="T T T"
Mg 0.000 0.000 0.000
Mg 1.957 1.957 3.906
Pt 0.000 1.957 1.953
Pt 1.957 0.000 5.859
Rh 0.000 0.000 3.906
Rh 0.000 1.957 5.859
Rh 1.957 0.000 1.953
Rh 1.957 1.957 0.000
```

- Formation energy: -0.356 eV/atom
- Total moment: 0.000 Bohr magnetons per cell
- Calculated total energy: -5.941 eV per atom
- Calculated volume: 15.0 Å³ per atom

The following is a PBE calculation of crystalline Tb5NdSc2 at its relaxed geometry, from Alexandria.

```
32
Lattice="11.328 0.000 0.000 0.000 12.156 0.000 0.000 0.000 7.055" Properties=species:S:1:pos:R:3 pbc="T T T"
Tb 0.000 0.000 1.730
Tb 0.000 0.000 5.324
Tb 0.005 3.083 3.527
Tb 11.323 9.073 3.527
Tb 0.017 3.098 0.000
Tb 2.818 8.108 1.728
Tb 2.818 8.108 5.327
Tb 2.846 2.030 1.728
Tb 2.846 2.030 5.327
Tb 5.647 9.176 0.000
Tb 5.669 2.995 3.527
Tb 5.664 6.078 1.730
Tb 5.664 6.078 5.324
Tb 5.659 9.161 3.527
Tb 5.681 2.980 0.000
Tb 8.482 10.126 1.728
Tb 8.482 10.126 5.327
Tb 8.510 4.048 1.728
Tb 8.510 4.048 5.327
Tb 11.311 9.058 0.000
Nd 2.796 5.112 3.527
Nd 2.868 11.190 3.527
Nd 8.460 0.966 3.527
Nd 8.532 7.044 3.527
Sc 0.000 6.078 1.705
Sc 0.000 6.078 5.349
Sc 2.785 5.068 0.000
Sc 2.880 11.146 0.000
Sc 5.664 0.000 1.705
Sc 5.664 0.000 5.349
Sc 8.449 1.010 0.000
Sc 8.544 7.088 0.000
```

- Formation energy: 0.032 eV/atom
- Total moment: 0.000 Bohr magnetons per cell
- Calculated total energy: -5.040 eV per atom
- Calculated volume: 30.4 Å³ per atom

The following is a PBE calculation of crystalline Tb2Tm6In at its relaxed geometry, from Alexandria.

```
18
Lattice="6.152 -7.268 0.000 6.152 7.268 0.000 -2.328 0.000 6.075" Properties=species:S:1:pos:R:3 pbc="T T T"
Tb 1.328 1.145 0.061
Tb 0.164 -1.145 3.099
Tb 9.811 1.145 2.976
Tb 8.647 -1.145 6.013
Tm 0.830 2.347 3.365
Tm 4.354 2.789 0.507
Tm 1.994 -2.347 0.327
Tm 3.425 0.347 2.591
Tm 2.261 -0.347 5.629
Tm 6.785 2.789 2.531
Tm 3.190 -2.789 3.544
Tm 7.713 0.347 0.446
Tm 6.549 -0.347 3.483
Tm 7.980 2.347 5.747
Tm 5.621 -2.789 5.568
Tm 9.144 -2.347 2.710
In 4.405 2.658 4.556
In 5.569 -2.658 1.519
```

- Formation energy: 0.015 eV/atom
- Total moment: 0.000 Bohr magnetons per cell
- Calculated total energy: -4.299 eV per atom
- Calculated volume: 30.2 Å³ per atom

The following is a PBE calculation of crystalline Tb2NbCd at its relaxed geometry, from Alexandria.

```
12
Lattice="3.186 0.000 0.000 -1.593 2.759 0.000 0.000 0.000 34.709" Properties=species:S:1:pos:R:3 pbc="T T T"
Tb 0.000 0.000 2.959
Tb 0.000 0.000 31.750
Tb 0.000 1.839 20.180
Tb 0.000 1.839 26.099
Tb 1.593 0.920 8.610
Tb 1.593 0.920 14.529
Nb 0.000 0.000 0.000
Nb 0.000 1.839 23.140
Nb 1.593 0.920 11.570
Cd 0.000 0.000 17.355
Cd 0.000 1.839 5.785
Cd 1.593 0.920 28.924
```

- Formation energy: 0.467 eV/atom
- Total moment: 1.705 Bohr magnetons per cell
- Calculated total energy: -4.594 eV per atom
- Calculated volume: 25.4 Å³ per atom

The following is a PBE calculation of crystalline PuMnTcNi at its relaxed geometry, from Alexandria.

```
16
Lattice="6.345 0.000 0.000 0.000 6.345 0.000 0.000 0.000 6.345" Properties=species:S:1:pos:R:3 pbc="T T T"
Pu 0.000 0.000 0.000
Pu 0.000 3.172 3.172
Pu 3.172 0.000 3.172
Pu 3.172 3.172 0.000
Mn 0.000 0.000 3.172
Mn 0.000 3.172 0.000
Mn 3.172 0.000 0.000
Mn 3.172 3.172 3.172
Tc 1.586 1.586 4.759
Tc 1.586 4.759 1.586
Tc 4.759 1.586 1.586
Tc 4.759 4.759 4.759
Ni 1.586 1.586 1.586
Ni 1.586 4.759 4.759
Ni 4.759 1.586 4.759
Ni 4.759 4.759 1.586
```

- Formation energy: 0.106 eV/atom
- Total moment: 31.039 Bohr magnetons per cell
- Calculated total energy: -9.806 eV per atom
- Calculated volume: 16.0 Å³ per atom

The following is a PBE calculation of crystalline TaNbSe4 at its relaxed geometry, from Alexandria.

```
12
Lattice="14.703 0.000 0.000 0.000 3.482 0.000 -2.445 0.000 5.516" Properties=species:S:1:pos:R:3 pbc="T T T"
Ta 0.000 0.000 0.000
Ta 7.351 1.741 0.000
Nb -1.222 1.741 2.758
Nb 6.129 0.000 2.758
Se -0.513 1.741 5.286
Se 0.725 0.000 2.509
Se 4.182 1.741 3.008
Se 5.419 0.000 0.230
Se 6.838 0.000 5.286
Se 8.076 1.741 2.509
Se 11.533 0.000 3.008
Se 12.770 1.741 0.230
```

- Formation energy (no corrections): -0.812 eV/atom
- Total moment: 0.000 Bohr magnetons per cell
- Calculated total energy: -6.788 eV per atom
- Calculated volume: 23.5 Å³ per atom

The following is a PBE calculation of crystalline CePr4Nd3Se8 at its relaxed geometry, from Alexandria.

```
16
Lattice="4.245 2.451 6.933 -4.245 2.451 6.933 0.000 -4.902 6.933" Properties=species:S:1:pos:R:3 pbc="T T T"
Ce 0.000 0.000 0.000
Pr -4.245 0.000 10.399
Pr -2.123 1.225 3.466
Pr 2.123 1.225 3.466
Pr 0.000 0.000 10.399
Nd -2.123 -1.225 6.933
Nd -2.123 1.225 13.865
Nd 0.000 2.451 6.933
Se 0.000 -2.465 8.635
Se -2.135 1.232 8.635
Se -2.135 -1.232 12.163
Se 0.000 0.000 5.221
Se 0.000 0.000 15.577
Se 2.135 1.232 8.635
Se 2.135 -1.233 12.163
Se 0.000 2.465 12.163
```

- Formation energy (no corrections): -1.841 eV/atom
- Total moment: 0.895 Bohr magnetons per cell
- Calculated total energy: -6.043 eV per atom
- Calculated volume: 27.0 Å³ per atom

The following is a PBE calculation of crystalline PmHoPu2Sb4 at its relaxed geometry, from Alexandria.

```
8
Lattice="7.648 0.000 0.000 0.000 4.437 0.000 -2.564 0.000 7.244" Properties=species:S:1:pos:R:3 pbc="T T T"
Pm 0.000 0.000 0.000
Ho -1.282 2.219 3.622
Pu 2.542 0.000 3.622
Pu 3.824 2.219 0.000
Sb -0.003 0.000 5.406
Sb 1.279 2.219 1.849
Sb 3.804 2.219 5.395
Sb 5.087 0.000 1.838
```

- Formation energy (no corrections): -0.852 eV/atom
- Total moment: 0.031 Bohr magnetons per cell
- Calculated total energy: -7.662 eV per atom
- Calculated volume: 30.7 Å³ per atom